A geometry-optimized SmMg2AlAg2 structure, computed with PBE.

Summary:
The calculation puts the formation energy at 83 meV/atom.

abc: 5.1792 5.1792 11.1841
angles: 90.00 90.00 90.00
With the nearest neighbours (Å) after each atom.
Space group I4/mmm (No. 139)
Unique sites:
Sm: 0.0000 0.0000 0.0000 x2  2 Ag 3.13
Mg: 0.0000 0.5000 0.2500 x4  4 Ag 2.61
Al: 0.0000 0.0000 0.5000 x2  2 Ag 2.46
Ag: 0.0000 0.0000 0.2802 x4  1 Al 2.46, 4 Mg 2.61

=====

A geometry-optimized La2Pm6Sm3 structure, computed with PBE.

Summary:
As for the energy relative to the lowest polymorph listed for this composition: 0 meV/atom. The calculation puts the formation energy at 171 meV/atom.

abc: 6.2647 10.8876 11.9966
angles: 90.00 100.32 90.00
With the nearest neighbours (Å) after each atom.
Space group C2/m (No. 12)
Unique sites:
La: 0.0000 0.1663 0.0000 x4  3 La 3.62, 6 Pm 3.63-3.64
Pm: 0.2503 0.0000 0.2523 x4  3 Sm 3.58-3.60, 6 Pm 3.62-3.63, 2 La 3.63
Pm: 0.2497 0.1665 0.7481 x8  3 Sm 3.60-3.61, 6 Pm 3.62-3.63, 2 La 3.63-3.64
Sm: 0.0000 0.0000 0.5000 x2  6 Pm 3.60, 6 Sm 3.61-3.65
Sm: 0.0000 0.3352 0.5000 x4  6 Pm 3.58-3.61, 6 Sm 3.59-3.65

=====

A geometry-optimized GdCdSbAu structure, computed with PBE.

Summary:
The value obtained for the uncorrected formation energy is -0.48 eV per atom.

abc: 7.3050 7.3050 7.3050
angles: 90.00 90.00 90.00
With the nearest neighbours (Å) after each atom.
Space group F-43m (No. 216)
Unique sites:
Gd: 0.0000 0.0000 0.0000 x4  4 Au 3.16, 4 Sb 3.16
Cd: 0.0000 0.0000 0.5000 x4  4 Sb 3.16, 4 Au 3.16
Sb: 0.2500 0.2500 0.2500 x4  4 Gd 3.16, 4 Cd 3.16
Au: 0.2500 0.2500 0.7500 x4  4 Cd 3.16, 4 Gd 3.16

=====

A geometry-optimized CsRbZn2Ge structure, computed with PBE.

Summary:
As for the energy relative to the lowest polymorph listed for this composition: 149 meV/atom. The calculation puts the formation energy at 169 meV/atom.

abc: 4.1561 5.8411 7.0380
angles: 90.00 103.46 90.00
With the nearest neighbours (Å) after each atom.
Space group Pm (No. 6)
Unique sites:
Cs: 0.0000 0.0000 0.0000 x1  1 Rb 3.47, 4 Zn 3.65-3.71
Rb: 0.6894 0.0000 0.4978 x1  1 Cs 3.47, 4 Zn 3.63-3.70, 2 Ge 3.83
Zn: 0.1310 0.5000 0.3858 x1  1 Ge 2.50, 1 Zn 2.65
Zn: 0.5600 0.5000 0.1217 x1  1 Ge 2.57, 2 Zn 2.65-2.86
Ge: 0.3574 0.5000 0.7473 x1  2 Zn 2.50-2.57

=====

Results for raw total energy: -2.809 -4.604 -6.079 -1.628 (in eV/atom, following the order of the records).